Density functional theory data (PBE-GGA) for an optimized crystal structure of ZrAs2OsBr.

Lattice parameters (Å, degrees): 4.759 4.759 5.135 90.00 90.00 90.00
Site moments in Bohr magnetons follow the coordinates.
Fractional positions:
As 0.000 0.500 0.000  -0.01
As 0.500 0.000 0.000  -0.01
Os 0.000 0.000 0.000  0.28
Br 0.000 0.000 0.500  -0.01
Zr 0.500 0.500 0.500  0.97

Output
SG: P4/mmm
Formation energy (no corrections) (eV per atom): 0.67
Final energy (eV per atom): -5.477
Distance to the lowest polymorph of the same formula (meV/atom): 0